Record 1
The following is a PBE-GGA calculation of an optimized crystal structure of CeHfO4, from Alexandria via LeMat-Bulk.

```
data_CeHfO4
_chemical_formula_sum 'Ce8 Hf8 O32'
_symmetry_space_group_name_H-M 'P 1'
_symmetry_Int_Tables_number 1
_cell_length_a 7.449
_cell_length_b 7.482
_cell_length_c 10.700
_cell_angle_alpha 90.00
_cell_angle_beta 90.00
_cell_angle_gamma 90.00
loop_
_symmetry_equiv_pos_as_xyz
'x,y,z'
loop_
_atom_site_label
_atom_site_type_symbol
_atom_site_fract_x
_atom_site_fract_y
_atom_site_fract_z
_atom_site_occupancy
Ce1 Ce 0.000 0.004 0.000 1
Ce2 Ce 0.000 0.507 0.992 1
Ce3 Ce 0.248 0.246 0.746 1
Ce4 Ce 0.252 0.754 0.246 1
Ce5 Ce 0.500 0.493 0.492 1
Ce6 Ce 0.500 0.996 0.500 1
Ce7 Ce 0.748 0.754 0.246 1
Ce8 Ce 0.752 0.246 0.746 1
Hf1 Hf 0.000 0.023 0.485 1
Hf2 Hf 0.000 0.505 0.498 1
Hf3 Hf 0.245 0.745 0.743 1
Hf4 Hf 0.255 0.255 0.243 1
Hf5 Hf 0.500 0.495 0.998 1
Hf6 Hf 0.500 0.977 0.985 1
Hf7 Hf 0.745 0.255 0.243 1
Hf8 Hf 0.755 0.745 0.743 1
O1 O 0.000 0.246 0.879 1
O2 O 0.000 0.248 0.626 1
O3 O 0.000 0.250 0.149 1
O4 O 0.000 0.263 0.393 1
O5 O 0.000 0.708 0.654 1
O6 O 0.000 0.753 0.403 1
O7 O 0.000 0.759 0.880 1
O8 O 0.000 0.761 0.131 1
O9 O 0.227 0.976 0.604 1
O10 O 0.232 0.018 0.353 1
O11 O 0.244 0.493 0.350 1
O12 O 0.245 0.502 0.600 1
O13 O 0.255 0.498 0.100 1
O14 O 0.256 0.507 0.850 1
O15 O 0.268 0.982 0.853 1
O16 O 0.273 0.024 0.104 1
O17 O 0.500 0.239 0.631 1
O18 O 0.500 0.241 0.380 1
O19 O 0.500 0.247 0.903 1
O20 O 0.500 0.292 0.154 1
O21 O 0.500 0.737 0.893 1
O22 O 0.500 0.750 0.649 1
O23 O 0.500 0.752 0.126 1
O24 O 0.500 0.754 0.379 1
O25 O 0.727 0.024 0.104 1
O26 O 0.732 0.982 0.853 1
O27 O 0.744 0.507 0.850 1
O28 O 0.745 0.498 0.100 1
O29 O 0.755 0.502 0.600 1
O30 O 0.756 0.493 0.350 1
O31 O 0.768 0.018 0.353 1
O32 O 0.773 0.976 0.604 1
```

Computed properties:
Raw formation energy (eV per formula unit): -20.574
E_tot (eV/cell): -450.35
Magnetization (μB/cell): 0.000

***

Record 2
The following is a PBE-GGA calculation of an optimized crystal structure of Rb2CaSeBr6, from Alexandria via LeMat-Bulk.

```
data_Rb2CaSeBr6
_chemical_formula_sum 'Rb2 Ca1 Se1 Br6'
_symmetry_space_group_name_H-M 'P 1'
_symmetry_Int_Tables_number 1
_cell_length_a 8.088
_cell_length_b 8.088
_cell_length_c 8.088
_cell_angle_alpha 117.23
_cell_angle_beta 117.23
_cell_angle_gamma 94.88
loop_
_symmetry_equiv_pos_as_xyz
'x,y,z'
loop_
_atom_site_label
_atom_site_type_symbol
_atom_site_fract_x
_atom_site_fract_y
_atom_site_fract_z
_atom_site_occupancy
Rb1 Rb 0.250 0.750 0.500 1
Rb2 Rb 0.750 0.250 0.500 1
Ca1 Ca 0.000 0.000 0.000 1
Se1 Se 0.500 0.500 0.000 1
Br1 Br 0.238 0.238 0.476 1
Br2 Br 0.238 0.762 0.000 1
Br3 Br 0.269 0.269 0.000 1
Br4 Br 0.731 0.731 0.000 1
Br5 Br 0.762 0.238 0.000 1
Br6 Br 0.762 0.762 0.524 1
```

Computed properties:
Raw formation energy (eV per formula unit): -11.837
E_tot (eV/cell): -29.30
Magnetization (μB/cell): 2.000

***

Record 3
The following is a PBE-GGA calculation of an optimized crystal structure of Ge3ClO, from Alexandria via LeMat-Bulk.

```
data_Ge3ClO
_chemical_formula_sum 'Ge3 Cl1 O1'
_symmetry_space_group_name_H-M 'P 1'
_symmetry_Int_Tables_number 1
_cell_length_a 4.641
_cell_length_b 4.641
_cell_length_c 4.641
_cell_angle_alpha 90.00
_cell_angle_beta 90.00
_cell_angle_gamma 90.00
loop_
_symmetry_equiv_pos_as_xyz
'x,y,z'
loop_
_atom_site_label
_atom_site_type_symbol
_atom_site_fract_x
_atom_site_fract_y
_atom_site_fract_z
_atom_site_occupancy
Ge1 Ge 0.000 0.000 0.500 1
Ge2 Ge 0.000 0.500 0.000 1
Ge3 Ge 0.500 0.000 0.000 1
Cl1 Cl 0.500 0.500 0.500 1
O1 O 0.000 0.000 0.000 1
```

Computed properties:
Raw formation energy (eV per formula unit): 0.821
E_tot (eV/cell): -19.84
Magnetization (μB/cell): 1.226
ΔE to the lowest computed polymorph (meV/atom): 0.0